Record 1
Material: K2Na9Tl3
Method: DFT, PBE-GGA
State: relaxed

Computed properties:
**E_tot**: -1.565 eV per atom
**ΔE_f**: -0.05 eV/atom

The structure in POSCAR format:
```
K2Na9Tl3
1.0
8.834 -4.782 0.000
8.834 4.782 0.000
-5.966 0.000 12.088
K Na Tl
4 18 6
direct
0.118 0.248 0.246
0.248 0.118 0.746
0.752 0.882 0.254
0.882 0.752 0.754
0.014 0.872 0.078
0.128 0.986 0.422
0.185 0.364 0.560
0.229 0.567 0.247
0.313 0.687 0.750
0.315 0.504 0.968
0.364 0.185 0.060
0.433 0.771 0.253
0.496 0.685 0.532
0.504 0.315 0.468
0.567 0.229 0.747
0.636 0.815 0.940
0.685 0.496 0.032
0.687 0.313 0.250
0.771 0.433 0.753
0.815 0.636 0.440
0.872 0.014 0.578
0.986 0.128 0.922
0.000 0.500 0.000
0.152 0.661 0.482
0.339 0.848 0.018
0.500 0.000 0.500
0.661 0.152 0.982
0.848 0.339 0.518
```

Record 2
Material: AgHgSbI2
Method: DFT, PBE-GGA
State: relaxed

Computed properties:
**E_form (uncorrected)**: 0.32 eV/atom
**E_tot**: -1.753 eV per atom

The structure in POSCAR format:
```
AgHgSbI2
1.0
5.795 0.000 0.000
0.000 5.795 0.000
0.000 0.000 5.471
Ag Hg Sb I
1 1 1 2
direct
0.000 0.000 0.000
0.500 0.500 0.500
0.000 0.000 0.500
0.000 0.500 0.000
0.500 0.000 0.000
```

Record 3
Material: Pu4Ru2PtAu
Method: DFT, PBE-GGA
State: relaxed

Computed properties:
**E_tot**: -10.947 eV per atom
**ΔE_f**: -0.30 eV/atom

The structure in POSCAR format:
```
Pu4Ru2PtAu
1.0
2.453 1.416 8.037
-2.453 1.416 8.037
0.000 -2.832 8.037
Pu Ru Pt Au
4 2 1 1
direct
0.122 0.122 0.122
0.373 0.373 0.373
0.627 0.627 0.627
0.878 0.878 0.878
0.251 0.251 0.251
0.749 0.749 0.749
0.000 0.000 0.000
0.500 0.500 0.500
```

Record 4
Material: ZnRe2Ni
Method: DFT, PBE-GGA
State: relaxed

Computed properties:
**E_tot**: -7.777 eV per atom
**ΔE_f**: 0.21 eV/atom

The structure in POSCAR format:
```
ZnRe2Ni
1.0
3.283 0.000 0.000
0.000 3.993 0.000
0.000 0.000 4.230
Zn Re Ni
1 2 1
direct
0.000 0.000 0.000
0.000 0.500 0.500
0.500 0.000 0.500
0.500 0.500 0.000
```

Record 5
Material: Mn2BeHg
Method: DFT, PBE-GGA
State: relaxed

Computed properties:
**E_tot**: -5.161 eV per atom
**ΔE_f**: 0.43 eV/atom

The structure in POSCAR format:
```
Mn2BeHg
1.0
0.000 3.102 3.102
3.102 0.000 3.102
3.102 3.102 0.000
Mn Be Hg
2 1 1
direct
0.250 0.250 0.250
0.750 0.750 0.750
0.000 0.000 0.000
0.500 0.500 0.500
```

Record 6
Material: Hf2Ti2ZnIr5
Method: DFT, PBE-GGA
State: relaxed

Computed properties:
**E_tot**: -8.634 eV per atom
**ΔE_f**: -0.51 eV/atom

The structure in POSCAR format:
```
Hf2Ti2ZnIr5
1.0
9.432 0.000 0.000
0.000 9.432 0.000
0.000 0.000 3.712
Hf Ti Zn Ir
4 4 2 10
direct
0.177 0.323 0.000
0.323 0.823 0.000
0.677 0.177 0.000
0.823 0.677 0.000
0.123 0.623 0.000
0.377 0.123 0.000
0.623 0.877 0.000
0.877 0.377 0.000
0.000 0.000 0.000
0.500 0.500 0.000
0.000 0.500 0.500
0.064 0.798 0.500
0.202 0.064 0.500
0.298 0.564 0.500
0.436 0.298 0.500
0.500 0.000 0.500
0.564 0.702 0.500
0.702 0.436 0.500
0.798 0.936 0.500
0.936 0.202 0.500
```

Record 7
Material: Hf2AgSn
Method: DFT, PBE-GGA
State: relaxed

Computed properties:
**E_tot**: -6.501 eV per atom
**ΔE_f**: 0.19 eV/atom

The structure in POSCAR format:
```
Hf2AgSn
1.0
-3.896 3.896 2.956
3.896 -3.896 2.956
3.896 3.896 -2.956
Hf Ag Sn
4 2 2
direct
0.109 0.625 0.984
0.375 0.359 0.484
0.641 0.125 0.016
0.875 0.891 0.516
0.000 0.000 0.000
0.750 0.250 0.500
0.250 0.750 0.500
0.500 0.500 0.000
```

Record 8
Material: Li2TlMoBr8
Method: DFT, PBE-GGA
State: relaxed

Computed properties:
**E_form (uncorrected)**: -0.84 eV/atom
**E_tot**: -3.378 eV per atom

The structure in POSCAR format:
```
Li2TlMoBr8
1.0
6.651 0.000 0.000
1.229 7.092 0.000
0.119 3.293 8.221
Li Tl Mo Br
2 1 1 8
direct
0.036 0.160 0.327
0.964 0.840 0.673
0.500 0.500 0.500
0.500 0.500 0.000
0.071 0.781 0.422
0.147 0.710 0.963
0.378 0.290 0.862
0.410 0.255 0.277
0.590 0.745 0.723
0.622 0.710 0.138
0.853 0.290 0.037
0.929 0.219 0.578
```

Record 9
Material: Mg8Tl2Ga
Method: DFT, PBE-GGA
State: relaxed

Computed properties:
**E_tot**: -1.892 eV per atom
**ΔE_f**: -0.03 eV/atom

The structure in POSCAR format:
```
Mg8Tl2Ga
1.0
8.955 -2.499 0.000
8.955 2.499 0.000
-0.602 0.000 5.663
Mg Tl Ga
8 2 1
direct
0.043 0.043 0.259
0.239 0.239 0.341
0.343 0.343 0.875
0.418 0.418 0.409
0.582 0.582 0.591
0.657 0.657 0.125
0.761 0.761 0.659
0.957 0.957 0.741
0.160 0.160 0.808
0.840 0.840 0.192
0.500 0.500 0.000
```

Record 10
Material: Li2CdSn2Pd2
Method: DFT, PBE-GGA
State: relaxed

Computed properties:
**E_tot**: -3.799 eV per atom
**ΔE_f**: -0.49 eV/atom

The structure in POSCAR format:
```
Li2CdSn2Pd2
1.0
4.013 -2.293 0.000
4.013 2.293 0.000
-2.579 0.000 6.846
Li Cd Sn Pd
2 1 2 2
direct
0.144 0.144 0.432
0.856 0.856 0.568
0.000 0.000 0.000
0.421 0.421 0.265
0.579 0.579 0.735
0.275 0.275 0.825
0.725 0.725 0.175
```

Record 11
Material: NdGa4Ag4
Method: DFT, PBE-GGA
State: relaxed

Computed properties:
**E_tot**: -3.306 eV per atom
**ΔE_f**: -0.16 eV/atom

The structure in POSCAR format:
```
NdGa4Ag4
1.0
6.257 0.000 0.000
0.000 6.257 0.000
0.000 0.000 9.157
Nd Ga Ag
2 8 8
direct
0.250 0.750 0.250
0.750 0.250 0.750
0.032 0.250 0.045
0.250 0.032 0.545
0.250 0.468 0.545
0.468 0.250 0.045
0.532 0.750 0.955
0.750 0.532 0.455
0.750 0.968 0.455
0.968 0.750 0.955
0.027 0.250 0.336
0.250 0.027 0.836
0.250 0.473 0.836
0.473 0.250 0.336
0.527 0.750 0.664
0.750 0.527 0.164
0.750 0.973 0.164
0.973 0.750 0.664
```

Record 12
Material: CaLaP2
Method: DFT, PBE-GGA
State: relaxed

Computed properties:
**E_tot**: -5.524 eV per atom
**ΔE_f**: -1.09 eV/atom

The structure in POSCAR format:
```
CaLaP2
1.0
5.407 -2.032 0.000
5.407 2.032 0.000
-0.561 0.000 4.367
Ca La P
1 1 2
direct
0.000 0.000 0.000
0.740 0.740 0.526
0.270 0.270 0.054
0.460 0.460 0.465
```